First-principles (PBE) data for a relaxed K2LaHf2 crystal, as listed in Alexandria via LeMat-Bulk.

a = 9.253 Å, b = 9.253 Å, c = 9.253 Å
α = 151.29°, β = 151.29°, γ = 41.05°
Sites, in units of the cell vectors:
K: 0.250 0.750 0.500
K: 0.750 0.250 0.500
La: 0.000 0.000 0.000
Hf: 0.425 0.425 0.000
Hf: 0.575 0.575 0.000

DFT total energy ... -4.418 eV per atom
Polymorph energy (0 for the lowest one) ... 0 meV per atom
DFT formation energy ... 988 meV/atom
Symmetry ... I4/mmm (139)